Record 1
This record from Alexandria via LeMat-Bulk describes a relaxed structure of TlTe2Cl. The functional is PBE-GGA.

Cell lengths 7.5440, 7.5440, 7.5440 Å; angles 119.27, 119.27, 91.28 degrees
Positions (direct):
Tl 0.0000 0.0000 0.0000
Tl 0.7500 0.2500 0.5000
Te 0.1115 0.6250 0.9865
Te 0.3750 0.3615 0.4865
Te 0.6385 0.1250 0.0135
Te 0.8750 0.8885 0.5135
Cl 0.2500 0.7500 0.5000
Cl 0.5000 0.5000 0.0000

Output
**Crystal system**: tetragonal
**SG**: No. 122
**V**: 38.360 Å³/atom
**ΔE_f (raw)**: 0.18 eV per atom

Record 2
This record from Alexandria via LeMat-Bulk describes a relaxed structure of LaAgAs2Se. The functional is PBE-GGA.

Cell lengths 5.7490, 5.7490, 5.6915 Å; angles 90.00, 90.00, 90.00 degrees
Positions (direct):
La 0.0000 0.0000 0.0000
Ag 0.5000 0.5000 0.5000
As 0.0000 0.5000 0.0000
As 0.5000 0.0000 0.0000
Se 0.0000 0.0000 0.5000

Output
**Crystal system**: tetragonal
**SG**: No. 123
**V**: 37.622 Å³/atom
**ΔE_f (raw)**: 0.46 eV per atom

Record 3
This record from Alexandria via LeMat-Bulk describes a relaxed structure of Nd3Y2ErS6. The functional is PBE-GGA.

Cell lengths 6.8624, 6.8624, 6.9807 Å; angles 99.41, 99.41, 120.16 degrees
Positions (direct):
Nd 0.0000 0.0000 0.0000
Nd 0.3317 0.6683 0.0000
Nd 0.6683 0.3317 0.0000
Y 0.1668 0.8332 0.5000
Y 0.8332 0.1668 0.5000
Er 0.5000 0.5000 0.5000
S 0.0922 0.4224 0.2668
S 0.2479 0.2479 0.7345
S 0.4224 0.0922 0.2668
S 0.5776 0.9078 0.7332
S 0.7521 0.7521 0.2655
S 0.9078 0.5776 0.7332

Output
**Crystal system**: monoclinic
**SG**: No. 12
**V**: 22.376 Å³/atom
**ΔE_f (raw)**: -2.01 eV per atom

Record 4
This record from Alexandria via LeMat-Bulk describes a relaxed structure of YSiGe2Te. The functional is PBE-GGA.

Cell lengths 4.7191, 4.7191, 5.7455 Å; angles 90.00, 90.00, 90.00 degrees
Positions (direct):
Y 0.0000 0.0000 0.0000
Si 0.0000 0.0000 0.5000
Ge 0.0000 0.5000 0.5000
Ge 0.5000 0.0000 0.5000
Te 0.5000 0.5000 0.0000

Output
**Crystal system**: tetragonal
**SG**: No. 123
**V**: 25.590 Å³/atom
**ΔE_f (raw)**: 0.02 eV per atom

Record 5
This record from Alexandria via LeMat-Bulk describes a relaxed structure of BaZnBr. The functional is PBE-GGA.

Cell lengths 5.4593, 5.4593, 4.5253 Å; angles 90.00, 90.00, 120.00 degrees
Positions (direct):
Ba 0.0000 0.0000 0.0000
Zn 0.3333 0.6667 0.5326
Br 0.6667 0.3333 0.1369

Output
**Crystal system**: trigonal
**SG**: No. 156
**V**: 38.934 Å³/atom
**ΔE_f (raw)**: -0.75 eV per atom

Record 6
This record from Alexandria via LeMat-Bulk describes a relaxed structure of NaGaPS2. The functional is PBE-GGA.

Cell lengths 4.9073, 4.9073, 4.6784 Å; angles 90.00, 90.00, 90.00 degrees
Positions (direct):
Na 0.0000 0.0000 0.0000
Ga 0.5000 0.5000 0.5000
P 0.5000 0.5000 0.0000
S 0.0000 0.5000 0.5000
S 0.5000 0.0000 0.5000

Output
**Crystal system**: tetragonal
**SG**: No. 123
**V**: 22.532 Å³/atom
**ΔE_f (raw)**: 0.15 eV per atom

Record 7
This record from Alexandria via LeMat-Bulk describes a relaxed structure of NiGe2Bi. The functional is PBE-GGA.

Cell lengths 8.2090, 8.2090, 8.2090 Å; angles 144.54, 144.54, 51.02 degrees
Positions (direct):
Ni 0.0000 0.0000 0.0000
Ni 0.7500 0.2500 0.5000
Ge 0.0046 0.6250 0.8796
Ge 0.3750 0.2546 0.3796
Ge 0.7454 0.1250 0.1204
Ge 0.8750 0.9954 0.6204
Bi 0.2500 0.7500 0.5000
Bi 0.5000 0.5000 0.0000

Output
**Crystal system**: tetragonal
**SG**: No. 122
**V**: 23.149 Å³/atom
**ΔE_f**: 160 meV per atom

Record 8
This record from Alexandria via LeMat-Bulk describes a relaxed structure of LiLa2Th. The functional is PBE-GGA.

Cell lengths 5.6828, 5.6828, 5.6828 Å; angles 60.00, 60.00, 60.00 degrees
Positions (direct):
Li 0.0000 0.0000 0.0000
La 0.2500 0.2500 0.2500
La 0.7500 0.7500 0.7500
Th 0.5000 0.5000 0.5000

Output
**Crystal system**: cubic
**SG**: No. 225
**V**: 32.443 Å³/atom
**ΔE_f**: 241 meV per atom

Record 9
This record from Alexandria via LeMat-Bulk describes a relaxed structure of SrZrPt2. The functional is PBE-GGA.

Cell lengths 6.0147, 6.0147, 6.0147 Å; angles 44.94, 44.94, 44.94 degrees
Positions (direct):
Sr 0.0000 0.0000 0.0000
Zr 0.5000 0.5000 0.5000
Pt 0.2083 0.2083 0.2083
Pt 0.7917 0.7917 0.7917

Output
**Crystal system**: trigonal
**SG**: No. 166
**V**: 24.698 Å³/atom
**ΔE_f**: -806 meV per atom

Record 10
This record from Alexandria via LeMat-Bulk describes a relaxed structure of Sm12Er2Sc5. The functional is PBE-GGA.

Cell lengths 9.0684, 9.0684, 10.8962 Å; angles 104.29, 104.29, 44.84 degrees
Positions (direct):
Sm 0.0434 0.5565 0.8894
Sm 0.0704 0.5523 0.4046
Sm 0.0839 0.0839 0.3191
Sm 0.3973 0.3973 0.1846
Sm 0.4435 0.9566 0.1106
Sm 0.4477 0.9296 0.5954
Sm 0.5523 0.0704 0.4046
Sm 0.5565 0.0434 0.8894
Sm 0.6027 0.6027 0.8154
Sm 0.9161 0.9161 0.6809
Sm 0.9296 0.4477 0.5954
Sm 0.9566 0.4435 0.1106
Er 0.2405 0.7595 0.0000
Er 0.7595 0.2405 0.0000
Sc 0.1203 0.1203 0.8294
Sc 0.3859 0.3859 0.7000
Sc 0.5000 0.5000 0.5000
Sc 0.6141 0.6141 0.3000
Sc 0.8797 0.8797 0.1706

Output
**Crystal system**: monoclinic
**SG**: No. 12
**V**: 32.049 Å³/atom
**ΔE_f**: 191 meV per atom

Record 11
This record from Alexandria via LeMat-Bulk describes a relaxed structure of SrSiW. The functional is PBE-GGA.

Cell lengths 6.1930, 6.1930, 6.1930 Å; angles 147.77, 147.77, 46.23 degrees
Positions (direct):
Sr 0.0000 0.0000 0.0000
Si 0.2729 0.2729 0.0000
W 0.7177 0.7177 0.0000

Output
**Crystal system**: tetragonal
**SG**: No. 107
**V**: 22.442 Å³/atom
**ΔE_f (raw)**: 0.29 eV per atom

Record 12
This record from Alexandria via LeMat-Bulk describes a relaxed structure of CeThZrSc. The functional is PBE-GGA.

Cell lengths 5.3596, 5.3596, 5.3596 Å; angles 60.00, 60.00, 60.00 degrees
Positions (direct):
Ce 0.0000 0.0000 0.0000
Th 0.5000 0.5000 0.5000
Zr 0.2500 0.2500 0.2500
Sc 0.7500 0.7500 0.7500

Output
**Crystal system**: cubic
**SG**: No. 216
**V**: 27.216 Å³/atom
**ΔE_f**: 148 meV per atom

What are the spin magnetization values for these records? In order: 0.000, 0.188, 0.000, 0.000, 0.001, 0.149, 0.000, 0.000, 0.000, 0.000, 0.000, 0.171 μB/atom.